Entry 1:
A relaxed structure of Y2PuScSb4, computed with GGA-PBE.

Properties
As for the space group: P2/m (10). The uncorrected formation energy comes out at -0.95 eV/atom.

a b c (Å): 4.3561 7.5105 7.5259
angles (deg): 109.44 90.00 90.00
With the nearest neighbours (Å) after each atom.
Fractional coordinates of all 8 atoms:
Sb: 0.0000 0.2444 0.7548  1 Sc 3.01, 3 Y 3.07-3.13, 2 Pu 3.08
Y: 0.5000 0.0000 0.5000  6 Sb 3.07
Sb: 0.5000 0.2397 0.2399  2 Sc 3.01, 3 Y 3.07-3.14, 1 Pu 3.07
Sb: 0.0000 0.7556 0.2452  1 Sc 3.01, 3 Y 3.07-3.13, 2 Pu 3.08
Sb: 0.5000 0.7603 0.7601  2 Sc 3.01, 3 Y 3.07-3.14, 1 Pu 3.07
Y: 0.0000 0.5000 0.5000  6 Sb 3.13-3.14
Pu: 0.5000 0.5000 0.0000  6 Sb 3.07-3.08
Sc: 0.0000 0.0000 0.0000  6 Sb 3.01

---

Entry 2:
A relaxed structure of CePmSi, computed with GGA-PBE.

Properties
As for the space group: F-43m (216). The uncorrected formation energy comes out at -0.34 eV/atom.

a b c (Å): 4.9508 4.9508 4.9508
angles (deg): 60.00 60.00 60.00
With the nearest neighbours (Å) after each atom.
Fractional coordinates of all 3 atoms:
Pm: 0.5000 0.5000 0.5000  4 Si 3.03
Ce: 0.0000 0.0000 0.0000  4 Si 3.03
Si: 0.2500 0.2500 0.2500  4 Pm 3.03, 4 Ce 3.03

---

Entry 3:
A relaxed structure of Ba3ScU2O9, computed with GGA-PBE.

Properties
As for the space group: P-3m1 (164). The uncorrected formation energy comes out at -3.18 eV/atom.

a b c (Å): 6.1364 6.1364 7.5515
angles (deg): 90.00 90.00 120.00
With the nearest neighbours (Å) after each atom.
Fractional coordinates of all 15 atoms:
Ba: 0.0000 0.0000 0.0000  12 O 3.07-3.09
O: 0.8352 0.6704 0.6629  1 Sc 2.14, 1 U 2.17
O: 0.6704 0.8352 0.3371  1 Sc 2.14, 1 U 2.17
O: 0.1648 0.8352 0.3371  1 Sc 2.14, 1 U 2.17
O: 0.1648 0.3296 0.3371  1 Sc 2.14, 1 U 2.17
U: 0.3333 0.6667 0.1757  6 O 2.17-2.21
O: 0.3296 0.1648 0.6629  1 Sc 2.14, 1 U 2.17
O: 0.5000 0.5000 0.0000  2 U 2.21
U: 0.6667 0.3333 0.8243  6 O 2.17-2.21
O: 0.8352 0.1648 0.6629  1 Sc 2.14, 1 U 2.17
Sc: 0.0000 0.0000 0.5000  6 O 2.14
Ba: 0.3333 0.6667 0.6570  12 O 3.01-3.14
O: 0.0000 0.5000 0.0000  2 U 2.21
O: 0.5000 0.0000 0.0000  2 U 2.21
Ba: 0.6667 0.3333 0.3430  12 O 3.01-3.14

---

Entry 4:
A relaxed structure of Ba2ZnPd2, computed with GGA-PBE.

Properties
As for the space group: P4/mbm (127). The energy of formation from the pure elements comes out at -0.15 eV per atom.

a b c (Å): 8.9580 8.9580 3.9969
angles (deg): 90.00 90.00 90.00
With the nearest neighbours (Å) after each atom.
Fractional coordinates of all 10 atoms:
Zn: 0.5000 0.5000 0.0000  4 Ba 3.33
Pd: 0.8837 0.3837 0.5000  1 Pd 2.95, 4 Ba 3.27
Ba: 0.6678 0.1678 0.0000  6 Pd 3.27-3.39, 2 Zn 3.33
Pd: 0.3837 0.1163 0.5000  1 Pd 2.95, 4 Ba 3.27
Zn: 0.0000 0.0000 0.0000  4 Ba 3.33
Ba: 0.8322 0.6678 0.0000  6 Pd 3.27-3.39, 2 Zn 3.33
Pd: 0.1163 0.6163 0.5000  1 Pd 2.95, 4 Ba 3.27
Ba: 0.3322 0.8322 0.0000  6 Pd 3.27-3.39, 2 Zn 3.33
Pd: 0.6163 0.8837 0.5000  1 Pd 2.95, 4 Ba 3.27
Ba: 0.1678 0.3322 0.0000  6 Pd 3.27-3.39, 2 Zn 3.33

---

Entry 5:
A relaxed structure of CoPIr2, computed with GGA-PBE.

Properties
As for the space group: Pmmm (47). The energy of formation from the pure elements comes out at 0.25 eV per atom.

a b c (Å): 2.7312 4.6170 4.3133
angles (deg): 90.00 90.00 90.00
With the nearest neighbours (Å) after each atom.
Fractional coordinates of all 4 atoms:
Ir: 0.0000 0.0000 0.0000  4 P 2.55, 6 Ir 2.68-2.73
Co: 0.0000 0.5000 0.5000  4 Ir 2.55, 4 P 2.68, 2 Co 2.73
P: 0.5000 0.0000 0.5000  4 Ir 2.55, 4 Co 2.68, 2 P 2.73
Ir: 0.5000 0.5000 0.0000  4 Co 2.55, 6 Ir 2.68-2.73

---

Entry 6:
A relaxed structure of SnBiH2, computed with GGA-PBE.

Properties
As for the space group: P-1 (2).

a b c (Å): 6.3091 3.3281 8.2588
angles (deg): 95.61 112.71 91.16
With the nearest neighbours (Å) after each atom.
Fractional coordinates of all 8 atoms:
Sn: 0.6038 0.0112 0.7690  2 H 1.87-1.88
Sn: 0.3962 0.9888 0.2310  2 H 1.87-1.88
H: 0.2911 0.5284 0.0638  1 Sn 1.88
H: 0.7089 0.4716 0.9362  1 Sn 1.88
Bi: 0.9150 0.9716 0.3021  3 Bi 3.01-3.33, 2 H 3.08-3.35, 2 Sn 3.10-3.31
H: 0.5719 0.4097 0.6171  1 Sn 1.87, 1 H 1.96
H: 0.4281 0.5903 0.3829  1 Sn 1.87, 1 H 1.96
Bi: 0.0850 0.0284 0.6979  3 Bi 3.01-3.33, 2 H 3.08-3.35, 2 Sn 3.10-3.31

---

Entry 7:
A relaxed structure of ZrScTePd2, computed with GGA-PBE.

Properties
As for the space group: P4/mmm (123). The uncorrected formation energy comes out at 0.28 eV/atom.

a b c (Å): 4.9095 5.2061 4.9095
angles (deg): 90.00 90.00 90.00
With the nearest neighbours (Å) after each atom.
Fractional coordinates of all 5 atoms:
Sc: 0.0000 0.5000 0.0000  2 Te 2.60
Pd: 0.5000 0.0000 0.0000  2 Te 2.45
Zr: 0.5000 0.5000 0.5000  4 Sc 3.47, 8 Pd 3.58
Te: 0.0000 0.0000 0.0000  4 Pd 2.45, 2 Sc 2.60
Pd: 0.0000 0.0000 0.5000  2 Te 2.45

---

Entry 8:
A relaxed structure of Ca3Ga3Pt2, computed with GGA-PBE.

Properties
As for the space group: Pnma (62). The energy of formation from the pure elements comes out at -0.80 eV per atom.

a b c (Å): 5.8483 8.0095 15.2746
angles (deg): 90.00 90.00 90.00
With the nearest neighbours (Å) after each atom.
Fractional coordinates of all 32 atoms:
Ga: 0.8897 0.8412 0.7500  2 Pt 2.60
Pt: 0.3876 0.3866 0.6044  4 Ga 2.53-2.61
Pt: 0.8876 0.1134 0.3956  4 Ga 2.53-2.61
Ca: 0.6162 0.0384 0.6087  3 Pt 3.09-3.19, 7 Ga 3.12-3.34
Ca: 0.1285 0.1835 0.7500  5 Ga 3.08-3.28, 4 Pt 3.14-3.26
Pt: 0.3876 0.3866 0.8956  4 Ga 2.53-2.61
Ga: 0.8897 0.8216 0.0396  3 Pt 2.53-2.61
Ga: 0.6103 0.3216 0.4604  3 Pt 2.53-2.61
Ca: 0.6162 0.0384 0.8913  3 Pt 3.09-3.19, 7 Ga 3.12-3.34
Ca: 0.3838 0.9616 0.1087  3 Pt 3.09-3.19, 7 Ga 3.12-3.34
Ga: 0.1103 0.1784 0.5396  3 Pt 2.53-2.61
Pt: 0.6124 0.6134 0.3956  4 Ga 2.53-2.61
Ga: 0.8897 0.8216 0.4604  3 Pt 2.53-2.61
Ca: 0.3838 0.9616 0.3913  3 Pt 3.09-3.19, 7 Ga 3.12-3.34
Ga: 0.6103 0.3216 0.0396  3 Pt 2.53-2.61
Ca: 0.1162 0.4616 0.3913  3 Pt 3.09-3.19, 7 Ga 3.12-3.34
Ga: 0.1103 0.1784 0.9604  3 Pt 2.53-2.61
Ga: 0.3897 0.6784 0.9604  3 Pt 2.53-2.61
Ca: 0.8838 0.5384 0.6087  3 Pt 3.09-3.19, 7 Ga 3.12-3.34
Ga: 0.3897 0.6784 0.5396  3 Pt 2.53-2.61
Ca: 0.1162 0.4616 0.1087  3 Pt 3.09-3.19, 7 Ga 3.12-3.34
Ca: 0.6285 0.3165 0.2500  5 Ga 3.08-3.28, 4 Pt 3.14-3.26
Pt: 0.6124 0.6134 0.1044  4 Ga 2.53-2.61
Ga: 0.3897 0.6588 0.2500  2 Pt 2.60
Ca: 0.3715 0.6835 0.7500  5 Ga 3.08-3.28, 4 Pt 3.14-3.26
Ca: 0.8838 0.5384 0.8913  3 Pt 3.09-3.19, 7 Ga 3.12-3.34
Ga: 0.6103 0.3412 0.7500  2 Pt 2.60
Ca: 0.8715 0.8165 0.2500  5 Ga 3.08-3.28, 4 Pt 3.14-3.26
Pt: 0.8876 0.1134 0.1044  4 Ga 2.53-2.61
Ga: 0.1103 0.1588 0.2500  2 Pt 2.60
Pt: 0.1124 0.8866 0.6044  4 Ga 2.53-2.61
Pt: 0.1124 0.8866 0.8956  4 Ga 2.53-2.61

---

Entry 9:
A relaxed structure of AlSbRu2, computed with GGA-PBE.

Properties
As for the space group: P4mm (99). The uncorrected formation energy comes out at 0.04 eV/atom.

a b c (Å): 3.0132 3.0132 7.9217
angles (deg): 90.00 90.00 90.01
With the nearest neighbours (Å) after each atom.
Fractional coordinates of all 4 atoms:
Ru: 0.5000 0.5000 0.2230  8 Ru 2.75-3.01, 4 Sb 2.76
Al: 0.5000 0.5000 0.8306  4 Ru 2.53
Ru: 0.0000 0.0000 0.0025  4 Al 2.53, 4 Ru 2.75
Sb: 0.0000 0.0000 0.4439  4 Ru 2.76, 4 Sb 3.01

---

Entry 10:
A relaxed structure of Tb3AlAg4S8, computed with GGA-PBE.

Properties
As for the space group: C2/m (12). The uncorrected formation energy comes out at -1.11 eV/atom.

a b c (Å): 7.9864 11.7099 8.0123
angles (deg): 132.01 119.89 90.00
With the nearest neighbours (Å) after each atom.
Fractional coordinates of all 16 atoms:
Ag: 0.0000 0.0000 0.5000  2 S 2.38
S: 0.7882 0.6879 0.5763  1 Ag 2.33
S: 0.2118 0.3121 0.4237  1 Ag 2.33
Tb: 0.5000 0.5000 0.0000  6 S 2.70-2.78
S: 0.2687 0.6815 0.0840  1 Ag 2.38, 1 Al 2.49
S: 0.7313 0.3185 0.9160  1 Ag 2.38, 1 Al 2.49
S: 0.2710 0.6828 0.5421  1 Ag 2.38, 1 Al 2.51
S: 0.7290 0.3172 0.4579  1 Ag 2.38, 1 Al 2.51
Tb: 0.5000 0.5000 0.5000  6 S 2.70-2.77
Tb: 0.0000 0.5000 0.5000  6 S 2.70-2.77
Ag: 0.0000 0.0000 0.0000  2 S 2.33
Ag: 0.5000 0.0000 0.0000  2 S 2.38
S: 0.8152 0.6815 0.0840  1 Ag 2.38, 1 Al 2.49
Al: 0.0000 0.5000 0.0000  6 S 2.49-2.51
S: 0.1848 0.3185 0.9160  1 Ag 2.38, 1 Al 2.49
Ag: 0.5000 0.0000 0.5000  2 S 2.38

---

Entry 11:
A relaxed structure of LiLa4Se6, computed with GGA-PBE.

Properties
As for the space group: R-3c (167). The uncorrected formation energy comes out at -1.90 eV/atom.

a b c (Å): 8.3122 8.3122 8.3122
angles (deg): 89.36 89.36 90.64
With the nearest neighbours (Å) after each atom.
Fractional coordinates of all 22 atoms:
Se: 0.5603 0.1892 0.5808  1 Li 2.72, 1 La 2.98
Li: 0.5000 0.5000 0.5000  6 Se 2.72
Se: 0.6892 0.0603 0.0808  1 Li 2.72, 1 La 2.98
La: 0.7500 0.3654 0.8654  8 Se 3.09-3.24
Li: 0.0000 0.0000 0.0000  6 Se 2.72
La: 0.2500 0.6346 0.1346  8 Se 3.09-3.24
La: 0.2500 0.2500 0.7500  6 Se 2.98
Se: 0.4192 0.5603 0.8108  1 Li 2.72, 1 La 2.98
La: 0.8654 0.2500 0.3654  8 Se 3.09-3.24
La: 0.1346 0.7500 0.6346  8 Se 3.09-3.24
Se: 0.0603 0.9192 0.3108  1 Li 2.72, 1 La 2.98
Se: 0.5808 0.4397 0.1892  1 Li 2.72, 1 La 2.98
Se: 0.4397 0.8108 0.4192  1 Li 2.72, 1 La 2.98
Se: 0.0808 0.3108 0.0603  1 Li 2.72, 1 La 2.98
Se: 0.3108 0.9397 0.9192  1 Li 2.72, 1 La 2.98
La: 0.7500 0.7500 0.2500  6 Se 2.98
Se: 0.8108 0.5808 0.5603  1 Li 2.72, 1 La 2.98
Se: 0.9397 0.0808 0.6892  1 Li 2.72, 1 La 2.98
Se: 0.1892 0.4192 0.4397  1 Li 2.72, 1 La 2.98
La: 0.6346 0.8654 0.7500  8 Se 3.09-3.24
La: 0.3654 0.1346 0.2500  8 Se 3.09-3.24
Se: 0.9192 0.6892 0.9397  1 Li 2.72, 1 La 2.98

---

Entry 12:
A relaxed structure of KTaPb2I, computed with GGA-PBE.

Properties
As for the space group: P4/mmm (123). The uncorrected formation energy comes out at 0.45 eV/atom.

a b c (Å): 5.4578 7.3477 5.4578
angles (deg): 90.00 90.00 90.00
With the nearest neighbours (Å) after each atom.
Fractional coordinates of all 5 atoms:
Pb: 0.5000 0.0000 0.0000  2 Ta 2.73
K: 0.0000 0.5000 0.0000  2 Ta 3.67, 4 I 3.86
I: 0.5000 0.5000 0.5000  4 K 3.86
Ta: 0.0000 0.0000 0.0000  4 Pb 2.73
Pb: 0.0000 0.0000 0.5000  2 Ta 2.73

---

For the records above, the corresponding total moment values read 5.04 0.81 3.00 0.00 1.56 0.00 1.16 0.00 0.00 0.00 0.01 1.37 μB/f.u..
For the records above, the corresponding VASP energy values read -7.2056 -5.7070 -8.4627 -3.2488 -7.3097 -3.3031 -5.3972 -4.2002 -6.5674 -4.9862 -5.7698 -3.9298 eV/atom.